# Si5Au2, optimized geometry, DFT PBE
# Space-group type: R3m
# Final energy (eV/cell): -31.71
data_Si5Au2
_symmetry_space_group_name_H-M 'P 1'
_symmetry_Int_Tables_number 1
_symmetry_space_group_name_Hall 'P 1'
_cell_length_a 8.7271
_cell_length_b 8.7271
_cell_length_c 8.7271
_cell_angle_alpha 27.41
_cell_angle_beta 27.41
_cell_angle_gamma 27.41
loop_
_atom_site_label
_atom_site_type_symbol
_atom_site_fract_x
_atom_site_fract_y
_atom_site_fract_z
_atom_site_occupancy
Si1 Si 0.0000 0.0000 0.0000 1
Si2 Si 0.0988 0.0988 0.0988 1
Si3 Si 0.5265 0.5265 0.5265 1
Si4 Si 0.6266 0.6266 0.6266 1
Si5 Si 0.7971 0.7971 0.7971 1
Au1 Au 0.3716 0.3716 0.3716 1
Au2 Au 0.8975 0.8975 0.8975 1